Record 1
The following is a DFT calculation (PBE) of Ho3Hg3Pd2 after structural relaxation.

Cell: 7.5993 7.5993 3.6529 Å, 90.00 90.00 120.00°
Last column: nearest neighbours and their distance in Å.
Positions (direct):
Ho (0.5886, 0.5886, 0.5000)  4 Pd 2.93, 6 Hg 3.24-3.27
Ho (0.0000, 0.4114, 0.5000)  4 Pd 2.93, 6 Hg 3.24-3.27
Hg (0.0000, 0.7630, 0.0000)  2 Pd 2.97, 2 Hg 3.12, 6 Ho 3.24-3.27
Pd (0.3333, 0.6667, 0.0000)  6 Ho 2.93, 3 Hg 2.97
Hg (0.2370, 0.2370, 0.0000)  2 Pd 2.97, 2 Hg 3.12, 6 Ho 3.24-3.27
Ho (0.4114, 0.0000, 0.5000)  4 Pd 2.93, 6 Hg 3.24-3.27
Pd (0.6667, 0.3333, 0.0000)  6 Ho 2.93, 3 Hg 2.97
Hg (0.7630, 0.0000, 0.0000)  2 Pd 2.97, 2 Hg 3.12, 6 Ho 3.24-3.27

Output
calculated density	11.90	Mg/m³
calculated volume	22.84	A^3/atom
DFT formation energy	-0.695	eV/atom
DFT total energy	-3.82	eV per atom
SG	P-62m

***

Record 2
The following is a DFT calculation (PBE) of NaFeSbPb after structural relaxation.

Cell: 5.0115 5.0115 5.0115 Å, 60.00 60.00 60.00°
Last column: nearest neighbours and their distance in Å.
Positions (direct):
Na (0.7500, 0.7500, 0.7500)  4 Pb 3.07, 4 Sb 3.07
Sb (0.0000, 0.0000, 0.0000)  4 Fe 3.07, 4 Na 3.07
Pb (0.5000, 0.5000, 0.5000)  4 Fe 3.07, 4 Na 3.07
Fe (0.2500, 0.2500, 0.2500)  4 Pb 3.07, 4 Sb 3.07

Output
calculated density	7.61	Mg/m³
calculated volume	22.25	A^3/atom
E above lowest polymorph	0	meV per atom
DFT total energy	-4.09	eV per atom
SG	F-43m